Material: Ac4CeN5
Method: DFT, PBE
State: optimized geometry

Calculated values
uncorrected formation energy: -1.14 eV per atom

Lattice parameters (Å, degrees): 3.843 3.843 27.402 90.00 90.00 90.00
Space group I4/mmm (No. 139)
Symmetry-distinct sites (fractional):
Ac 0.000 0.000 0.095
Ac 0.000 0.000 0.299
Ce 0.000 0.000 0.500
N 0.000 0.000 0.000
N 0.000 0.000 0.203
N 0.000 0.000 0.415

Material: AgAsSCl2
Method: DFT, PBE
State: optimized geometry

Calculated values
uncorrected formation energy: 0.04 eV per atom

Lattice parameters (Å, degrees): 5.029 5.029 4.809 90.00 90.00 90.00
Space group P4/mmm (No. 123)
Symmetry-distinct sites (fractional):
Ag 0.000 0.000 0.000
As 0.500 0.500 0.500
S 0.500 0.500 0.000
Cl 0.000 0.500 0.500

Material: ZrV2Os2
Method: DFT, PBE
State: optimized geometry

Calculated values
formation energy from the elements: -0.149 eV per atom

Lattice parameters (Å, degrees): 4.076 4.076 10.414 90.00 90.00 90.00
Space group I4/mmm (No. 139)
Symmetry-distinct sites (fractional):
Zr 0.000 0.000 0.000
V 0.000 0.500 0.250
Os 0.000 0.000 0.380

Material: KMnRh
Method: DFT, PBE
State: optimized geometry

Calculated values
formation energy from the elements: 1.680 eV per atom

Lattice parameters (Å, degrees): 6.649 6.649 6.649 90.00 90.00 90.00
Space group F-43m (No. 216)
Symmetry-distinct sites (fractional):
K 0.000 0.000 0.000
Mn 0.250 0.250 0.250
Rh 0.250 0.250 0.750

Table of spin magnetization (μB/cell), in record order: 0.74 0.00 0.00 19.14
Table of density of states at the Fermi level (states/eV/atom), in record order: 0.50 0.29 0.84 0.47